Here is an optimized crystal structure of SrP2RhS from Alexandria. Energies are from PBE.

abc: 5.3599 5.3599 5.2804
angles: 90.00 90.00 90.00
With the nearest neighbours (Å) after each atom.
Space group P4/mmm (No. 123)
Asymmetric unit:
Sr 0.0000 0.0000 0.0000 x1  2 S 2.64, 4 P 2.68
P 0.0000 0.5000 0.0000 x2  2 Sr 2.68
Rh 0.5000 0.5000 0.5000 x1  8 P 3.76, 4 S 3.79
S 0.0000 0.0000 0.5000 x1  2 Sr 2.64

Output
V, Å³ per atom: 30.34
Distance to the lowest polymorph of the same formula, meV/atom: 2002
Raw formation energy, kJ/mol of atoms: 156.79

***

Here is an optimized crystal structure of SrP2RhS from Alexandria. Energies are from PBE.

abc: 4.5121 4.5121 5.4294
angles: 90.00 90.00 90.00
With the nearest neighbours (Å) after each atom.
Space group P4/mmm (No. 123)
Asymmetric unit:
Sr 0.0000 0.0000 0.0000 x1  4 S 3.19, 8 P 3.53
P 0.0000 0.5000 0.5000 x2  2 Rh 2.26
Rh 0.5000 0.5000 0.5000 x1  4 P 2.26
S 0.5000 0.5000 0.0000 x1  2 Rh 2.71

Output
V, Å³ per atom: 22.11
Distance to the lowest polymorph of the same formula, meV/atom: 0
Raw formation energy, kJ/mol of atoms: -36.40

***

Here is an optimized crystal structure of SrPRhS2 from Alexandria. Energies are from PBE.

abc: 5.4073 5.4073 5.4610
angles: 90.00 90.00 90.00
With the nearest neighbours (Å) after each atom.
Space group P4/mmm (No. 123)
Asymmetric unit:
Sr 0.0000 0.0000 0.0000 x1  4 S 2.70, 2 P 2.73
P 0.0000 0.0000 0.5000 x1  2 Sr 2.73
Rh 0.5000 0.5000 0.5000 x1  4 P 3.82, 8 S 3.84
S 0.0000 0.5000 0.0000 x2  2 Sr 2.70

Output
V, Å³ per atom: 31.93
Distance to the lowest polymorph of the same formula, meV/atom: 1856
Raw formation energy, kJ/mol of atoms: 123.88

***

Here is an optimized crystal structure of SrPRhS2 from Alexandria. Energies are from PBE.

abc: 5.0335 5.0335 4.3231
angles: 90.00 90.00 90.00
With the nearest neighbours (Å) after each atom.
Space group P4/mmm (No. 123)
Asymmetric unit:
Sr 0.0000 0.0000 0.0000 x1  8 S 3.32, 4 P 3.56
P 0.5000 0.5000 0.0000 x1  2 Rh 2.16
Rh 0.5000 0.5000 0.5000 x1  2 P 2.16
S 0.0000 0.5000 0.5000 x2  2 Rh 2.52

Output
V, Å³ per atom: 21.91
Distance to the lowest polymorph of the same formula, meV/atom: 0
Raw formation energy, kJ/mol of atoms: -55.22

***

Here is an optimized crystal structure of TaPRhS2 from Alexandria. Energies are from PBE.

abc: 4.5411 4.5411 4.4877
angles: 90.00 90.00 90.00
With the nearest neighbours (Å) after each atom.
Space group P4/mmm (No. 123)
Asymmetric unit:
Ta 0.0000 0.0000 0.0000 x1  8 S 3.19, 4 P 3.21
P 0.5000 0.5000 0.0000 x1  2 Rh 2.24
Rh 0.5000 0.5000 0.5000 x1  2 P 2.24, 4 S 2.27
S 0.0000 0.5000 0.5000 x2  2 Rh 2.27

Output
V, Å³ per atom: 18.51
Distance to the lowest polymorph of the same formula, meV/atom: 286
Raw formation energy, kJ/mol of atoms: 73.96

***

Here is an optimized crystal structure of TaPRhS2 from Alexandria. Energies are from PBE.

abc: 4.6969 4.6969 4.8711
angles: 90.00 90.00 90.00
With the nearest neighbours (Å) after each atom.
Space group P4/mmm (No. 123)
Asymmetric unit:
Ta 0.0000 0.0000 0.0000 x1  4 S 2.35, 2 P 2.44
P 0.0000 0.0000 0.5000 x1  2 Ta 2.44
Rh 0.5000 0.5000 0.5000 x1  4 P 3.32, 8 S 3.38
S 0.0000 0.5000 0.0000 x2  2 Ta 2.35

Output
V, Å³ per atom: 21.49
Distance to the lowest polymorph of the same formula, meV/atom: 0
Raw formation energy, kJ/mol of atoms: 46.39

***

Here is an optimized crystal structure of Te2PRhS from Alexandria. Energies are from PBE.

abc: 5.2875 5.2875 4.3549
angles: 90.00 90.00 90.00
With the nearest neighbours (Å) after each atom.
Space group P4/mmm (No. 123)
Asymmetric unit:
Te 0.0000 0.5000 0.0000 x2  2 P 2.64
P 0.0000 0.0000 0.0000 x1  2 Rh 2.18
Rh 0.0000 0.0000 0.5000 x1  2 P 2.18
S 0.5000 0.5000 0.5000 x1  8 Te 3.42, 4 Rh 3.74

Output
V, Å³ per atom: 24.35
Raw formation energy, kJ/mol of atoms: 69.30

***

Here is an optimized crystal structure of ThPRhS from Alexandria. Energies are from PBE.

abc: 4.3045 4.3045 8.4958
angles: 90.00 90.00 90.00
With the nearest neighbours (Å) after each atom.
Space group P4/nmm (No. 129, origin choice 2)
Asymmetric unit:
Th 0.2500 0.2500 0.2079 x2  4 S 2.78
P 0.2500 0.2500 0.6365 x2  4 Rh 2.44
Rh 0.2500 0.7500 0.5000 x2  4 P 2.44
S 0.2500 0.7500 0.0000 x2  4 Th 2.78, 4 S 3.04

Output
V, Å³ per atom: 19.68
Raw formation energy, kJ/mol of atoms: -121.07

***

Here is an optimized crystal structure of Th6PRh2S3 from Alexandria. Energies are from PBE.

abc: 7.1382 12.2791 7.1940
angles: 90.00 109.45 90.00
With the nearest neighbours (Å) after each atom.
Space group C2/m (No. 12)
Asymmetric unit:
Th 0.2422 0.0000 0.2394 x4  2 Rh 2.87, 1 P 2.91, 3 S 2.91-2.94
Th 0.2491 0.1684 0.7555 x8  2 Rh 2.87-2.89, 1 P 2.91, 3 S 2.94-2.96
P 0.0000 0.5000 0.0000 x2  6 Th 2.91
Rh 0.0000 0.1676 0.0000 x4  6 Th 2.87-2.89
S 0.0000 0.0000 0.5000 x2  6 Th 2.94
S 0.0000 0.3393 0.5000 x4  6 Th 2.91-2.96

Output
V, Å³ per atom: 24.77
Raw formation energy, kJ/mol of atoms: -135.86

***

Here is an optimized crystal structure of TiP2RhS from Alexandria. Energies are from PBE.

abc: 4.6485 4.6485 4.5246
angles: 90.00 90.00 90.00
With the nearest neighbours (Å) after each atom.
Space group P4/mmm (No. 123)
Asymmetric unit:
Ti 0.0000 0.0000 0.0000 x1  2 S 2.26, 4 P 2.32
P 0.0000 0.5000 0.0000 x2  2 Ti 2.32
Rh 0.5000 0.5000 0.5000 x1  8 P 3.24, 4 S 3.29
S 0.0000 0.0000 0.5000 x1  2 Ti 2.26

Output
V, Å³ per atom: 19.55
Distance to the lowest polymorph of the same formula, meV/atom: 41
Raw formation energy, kJ/mol of atoms: 45.97

***

Here is an optimized crystal structure of TiP2RhS from Alexandria. Energies are from PBE.

abc: 4.4553 4.4553 4.9352
angles: 90.00 90.00 90.00
With the nearest neighbours (Å) after each atom.
Space group P4/mmm (No. 123)
Asymmetric unit:
Ti 0.0000 0.0000 0.0000 x1  4 S 3.15, 8 P 3.32
P 0.0000 0.5000 0.5000 x2  2 Rh 2.23
Rh 0.5000 0.5000 0.5000 x1  4 P 2.23, 2 S 2.47
S 0.5000 0.5000 0.0000 x1  2 Rh 2.47

Output
V, Å³ per atom: 19.59
Distance to the lowest polymorph of the same formula, meV/atom: 0
Raw formation energy, kJ/mol of atoms: 42.01

***

Here is an optimized crystal structure of TlP2RhS from Alexandria. Energies are from PBE.

abc: 4.5249 4.5249 5.3100
angles: 90.00 90.00 90.00
With the nearest neighbours (Å) after each atom.
Space group P4/mmm (No. 123)
Asymmetric unit:
Tl 0.0000 0.0000 0.0000 x1  4 S 3.20, 8 P 3.49
P 0.0000 0.5000 0.5000 x2  2 Rh 2.26
Rh 0.5000 0.5000 0.5000 x1  4 P 2.26
S 0.5000 0.5000 0.0000 x1  2 Rh 2.65

Output
V, Å³ per atom: 21.74
Distance to the lowest polymorph of the same formula, meV/atom: 0
Raw formation energy, kJ/mol of atoms: 34.53

***

What did the fifth record say?
Here is an optimized crystal structure of TaPRhS2 from Alexandria. Energies are from PBE.

abc: 4.5411 4.5411 4.4877
angles: 90.00 90.00 90.00
With the nearest neighbours (Å) after each atom.
Space group P4/mmm (No. 123)
Asymmetric unit:
Ta 0.0000 0.0000 0.0000 x1  8 S 3.19, 4 P 3.21
P 0.5000 0.5000 0.0000 x1  2 Rh 2.24
Rh 0.5000 0.5000 0.5000 x1  2 P 2.24, 4 S 2.27
S 0.0000 0.5000 0.5000 x2  2 Rh 2.27

Output
V, Å³ per atom: 18.51
Distance to the lowest polymorph of the same formula, meV/atom: 286
Raw formation energy, kJ/mol of atoms: 73.96